## 1
Below is crystalline HgWCl4 at its relaxed geometry, with properties calculated at the GGA-PBE level.

Structure (POSCAR):
```
HgWCl4
1.0
-4.487 3.153 -0.724
-4.974 -5.988 -8.964
-5.248 -6.096 -0.878
Hg W Cl
2 2 8
Direct
0.250 0.510 0.479
0.750 0.490 0.521
0.750 0.064 0.372
0.250 0.936 0.628
0.380 0.893 0.939
0.120 0.668 0.939
0.368 0.215 0.329
0.632 0.785 0.671
0.868 0.045 0.671
0.880 0.332 0.061
0.132 0.955 0.329
0.620 0.107 0.061
```

Values from the calculation:
M_tot in μB/f.u.: 0.0
Space-group type: C2/c, No. 15

## 2
Below is crystalline HgWCl4 at its relaxed geometry, with properties calculated at the GGA-PBE level.

Structure (POSCAR):
```
HgWCl4
1.0
2.057 2.593 4.791
-3.657 2.656 3.671
-1.052 -2.310 5.241
Hg W Cl
1 1 4
Direct
0.750 0.750 0.750
0.000 0.000 0.000
0.876 0.375 0.375
0.375 0.375 0.876
0.375 0.876 0.375
0.375 0.375 0.375
```

Values from the calculation:
M_tot in μB/f.u.: 2.0
Space-group type: F-43m, No. 216

1 wins, 1882 meV/atom ahead of the next structure.

## 1
Below is crystalline HgWCl3 at its relaxed geometry, with properties calculated at the GGA-PBE level.

Structure (POSCAR):
```
HgWCl3
1.0
-3.948 2.432 -2.445
-3.100 -0.872 4.137
1.513 4.561 2.095
Hg W Cl
1 1 3
Direct
0.000 0.000 0.000
0.500 0.500 0.500
0.000 0.500 0.000
0.000 0.000 0.500
0.500 0.000 0.000
```

Values from the calculation:
M_tot in μB/f.u.: 4.9
Space-group type: Pm-3m, No. 221

## 2
Below is crystalline HgWCl3 at its relaxed geometry, with properties calculated at the GGA-PBE level.

Structure (POSCAR):
```
HgWCl3
1.0
-1.019 -4.087 2.462
4.096 0.541 2.594
-2.446 2.609 3.318
Hg W Cl
1 1 3
Direct
0.500 0.500 0.500
0.000 0.000 0.000
0.000 0.500 0.000
0.000 0.000 0.500
0.500 0.000 0.000
```

Values from the calculation:
M_tot in μB/f.u.: 2.0
Space-group type: Pm-3m, No. 221

2 wins, 1073 meV/atom ahead of the next structure.

## 1
Below is crystalline YHg2Cl2 at its relaxed geometry, with properties calculated at the GGA-PBE level.

Structure (POSCAR):
```
YHg2Cl2
1.0
3.811 0.000 0.000
0.000 3.811 0.000
1.905 1.905 10.456
Y Hg Cl
1 2 2
Direct
0.000 0.000 0.000
0.750 0.250 0.500
0.250 0.750 0.500
0.427 0.427 0.146
0.573 0.573 0.854
```

Values from the calculation:
M_tot in μB/f.u.: 0.0
Space-group type: I4/mmm, No. 139

## 2
Below is crystalline YHg2Cl2 at its relaxed geometry, with properties calculated at the GGA-PBE level.

Structure (POSCAR):
```
YHg2Cl2
1.0
7.004 0.000 0.000
0.000 7.004 0.000
0.000 0.000 6.311
Y Hg Cl
2 4 4
Direct
0.000 0.000 0.000
0.500 0.500 0.000
0.194 0.694 0.500
0.694 0.806 0.500
0.806 0.306 0.500
0.306 0.194 0.500
0.337 0.837 0.000
0.837 0.663 0.000
0.663 0.163 0.000
0.163 0.337 0.000
```

Values from the calculation:
M_tot in μB/f.u.: 0.4
Space-group type: P4/mbm, No. 127

2 wins, 181 meV/atom ahead of the next structure.

## 1
Below is crystalline ZnHgCl2 at its relaxed geometry, with properties calculated at the GGA-PBE level.

Structure (POSCAR):
```
ZnHgCl2
1.0
-3.150 0.023 0.599
-0.584 -0.831 -3.040
0.409 -9.504 2.521
Zn Hg Cl
1 1 2
Direct
0.500 0.500 0.750
0.500 0.500 0.250
0.000 0.000 0.903
0.000 0.000 0.597
```

Values from the calculation:
M_tot in μB/f.u.: 0.0
Space-group type: P4/mmm, No. 123

## 2
Below is crystalline ZnHgCl2 at its relaxed geometry, with properties calculated at the GGA-PBE level.

Structure (POSCAR):
```
ZnHgCl2
1.0
-3.322 -0.997 -2.101
0.948 -1.043 3.802
-4.124 7.333 3.039
Zn Hg Cl
1 1 2
Direct
0.500 0.500 0.751
0.000 0.000 0.519
0.000 0.000 0.923
0.500 0.500 0.307
```

Values from the calculation:
M_tot in μB/f.u.: 0.0
Space-group type: Cmm2, No. 35

2 wins, 24 meV/atom ahead of the next structure.